DFT (PBE) results for Sr2Si5Pd3 after structural relaxation.

Properties
Total energy: -5.25 eV/atom
DOS at the Fermi energy: 8.18 states/eV per cell
Space-group type: Ibam, No. 72
Formation energy from raw total energies: -0.640 eV/atom
Size of the total moment: 0.0 Bohr magnetons per cell

Structure (POSCAR):
```
Sr2Si5Pd3
1.0
5.975 0.000 0.000
2.987 7.938 0.072
2.987 1.296 7.831
Si Sr Pd
10 4 6
direct
0.250 0.500 0.500
0.978 0.772 0.772
0.750 0.500 0.500
0.522 0.228 0.228
0.884 0.971 0.260
0.478 0.772 0.772
0.384 0.260 0.971
0.022 0.228 0.228
0.116 0.029 0.740
0.616 0.740 0.029
0.872 0.392 0.865
0.628 0.135 0.608
0.128 0.608 0.135
0.372 0.865 0.392
0.636 0.475 0.253
0.864 0.747 0.525
0.250 0.000 0.000
0.364 0.525 0.747
0.136 0.253 0.475
0.750 0.000 0.000
```